1.
DFT (meta-GGA SCAN) results for TcPPtO2 at its PBEsol-relaxed geometry.

Cell and atoms, written as CIF:
```
data_TcPPtO2
_symmetry_space_group_name_H-M 'P 4/m m m'
_symmetry_Int_Tables_number 123
_symmetry_space_group_name_Hall '-P 4 2'
_cell_length_a 3.7264
_cell_length_b 3.7264
_cell_length_c 5.3159
_cell_angle_alpha 90.00
_cell_angle_beta 90.00
_cell_angle_gamma 90.00
loop_
_atom_site_label
_atom_site_type_symbol
_atom_site_fract_x
_atom_site_fract_y
_atom_site_fract_z
Tc1 Tc 0.0000 0.0000 0.0000
P1 P 0.5000 0.5000 0.0000
Pt1 Pt 0.5000 0.5000 0.5000
O1 O 0.0000 0.5000 0.5000
```

The density is 8.0 g/cm3. As for the crystal system: tetragonal. The total energy comes out at -25.246 eV per atom. For the energy above the most stable polymorph in this dataset, the calculation gives 966.9 meV per atom. The total moment is 2.60 μB/f.u.



2.
DFT (meta-GGA SCAN) results for ZrAgC3 at its PBEsol-relaxed geometry.

Cell and atoms, written as CIF:
```
data_ZrAgC3
_symmetry_space_group_name_H-M 'P m -3 m'
_symmetry_Int_Tables_number 221
_symmetry_space_group_name_Hall '-P 4 2 3'
_cell_length_a 4.2749
_cell_length_b 4.2749
_cell_length_c 4.2749
_cell_angle_alpha 90.00
_cell_angle_beta 90.00
_cell_angle_gamma 90.00
loop_
_atom_site_label
_atom_site_type_symbol
_atom_site_fract_x
_atom_site_fract_y
_atom_site_fract_z
Zr1 Zr 0.0000 0.0000 0.0000
Ag1 Ag 0.5000 0.5000 0.5000
C1 C 0.0000 0.0000 0.5000
```

The density is 5.0 g/cm3. As for the crystal system: cubic. The total energy comes out at -16.174 eV per atom. For the energy above the most stable polymorph in this dataset, the calculation gives 0.0 meV per atom. The total moment is 0.00 μB/f.u.



3.
DFT (meta-GGA SCAN) results for Ca3HgSe at its PBEsol-relaxed geometry.

Cell and atoms, written as CIF:
```
data_Ca3HgSe
_symmetry_space_group_name_H-M 'P m -3 m'
_symmetry_Int_Tables_number 221
_symmetry_space_group_name_Hall '-P 4 2 3'
_cell_length_a 5.4540
_cell_length_b 5.4540
_cell_length_c 5.4540
_cell_angle_alpha 90.00
_cell_angle_beta 90.00
_cell_angle_gamma 90.00
loop_
_atom_site_label
_atom_site_type_symbol
_atom_site_fract_x
_atom_site_fract_y
_atom_site_fract_z
Ca1 Ca 0.0000 0.0000 0.5000
Hg1 Hg 0.5000 0.5000 0.5000
Se1 Se 0.0000 0.0000 0.0000
```

The density is 4.1 g/cm3. As for the crystal system: cubic. The total energy comes out at -24.304 eV per atom. For the energy above the most stable polymorph in this dataset, the calculation gives 0.0 meV per atom. The total moment is 0.00 μB/f.u.



4.
DFT (meta-GGA SCAN) results for TmFe2B2 at its PBEsol-relaxed geometry.

Cell and atoms, written as CIF:
```
data_TmFe2B2
_symmetry_space_group_name_H-M 'I 4/m m m'
_symmetry_Int_Tables_number 139
_symmetry_space_group_name_Hall '-I 4 2'
_cell_length_a 3.5045
_cell_length_b 3.5045
_cell_length_c 9.1309
_cell_angle_alpha 90.00
_cell_angle_beta 90.00
_cell_angle_gamma 90.00
loop_
_atom_site_label
_atom_site_type_symbol
_atom_site_fract_x
_atom_site_fract_y
_atom_site_fract_z
Tm1 Tm 0.0000 0.0000 0.0000
Fe1 Fe 0.0000 0.5000 0.2500
B1 B 0.0000 0.0000 0.3576
```

The density is 9.0 g/cm3. As for the crystal system: tetragonal. The total energy comes out at -21.014 eV per atom. The total moment is 2.28 μB/f.u.



5.
DFT (meta-GGA SCAN) results for ScBeOs at its PBEsol-relaxed geometry.

Cell and atoms, written as CIF:
```
data_ScBeOs
_symmetry_space_group_name_H-M 'F -4 3 m'
_symmetry_Int_Tables_number 216
_symmetry_space_group_name_Hall 'F -4 2 3'
_cell_length_a 5.6141
_cell_length_b 5.6141
_cell_length_c 5.6141
_cell_angle_alpha 90.00
_cell_angle_beta 90.00
_cell_angle_gamma 90.00
loop_
_atom_site_label
_atom_site_type_symbol
_atom_site_fract_x
_atom_site_fract_y
_atom_site_fract_z
Sc1 Sc 0.0000 0.0000 0.0000
Be1 Be 0.2500 0.2500 0.2500
Os1 Os 0.0000 0.0000 0.5000
```

The density is 9.2 g/cm3. As for the crystal system: cubic. The total energy comes out at -30.215 eV per atom. The total moment is 0.00 μB/f.u.



6.
DFT (meta-GGA SCAN) results for Y2BeZnAu at its PBEsol-relaxed geometry.

Cell and atoms, written as CIF:
```
data_Y2BeZnAu
_symmetry_space_group_name_H-M 'P 4/m m m'
_symmetry_Int_Tables_number 123
_symmetry_space_group_name_Hall '-P 4 2'
_cell_length_a 5.4062
_cell_length_b 5.4062
_cell_length_c 4.6774
_cell_angle_alpha 90.00
_cell_angle_beta 90.00
_cell_angle_gamma 90.00
loop_
_atom_site_label
_atom_site_type_symbol
_atom_site_fract_x
_atom_site_fract_y
_atom_site_fract_z
Y1 Y 0.0000 0.5000 0.0000
Be1 Be 0.0000 0.0000 0.5000
Zn1 Zn 0.5000 0.5000 0.5000
Au1 Au 0.5000 0.5000 0.0000
```

The density is 5.5 g/cm3. As for the crystal system: tetragonal. The total energy comes out at -28.339 eV per atom. The total moment is 0.00 μB/f.u.



7.
DFT (meta-GGA SCAN) results for K2SiAs at its PBEsol-relaxed geometry.

Cell and atoms, written as CIF:
```
data_K2SiAs
_symmetry_space_group_name_H-M 'P m m m'
_symmetry_Int_Tables_number 47
_cell_length_a 3.0503
_cell_length_b 5.2141
_cell_length_c 6.0061
_cell_angle_alpha 90.00
_cell_angle_beta 90.00
_cell_angle_gamma 90.00
loop_
_symmetry_equiv_pos_as_xyz
'x,y,z'
'-x,-y,-z'
'-x,-y,z'
'x,y,-z'
'x,-y,-z'
'-x,y,z'
'-x,y,-z'
'x,-y,z'
loop_
_atom_site_label
_atom_site_type_symbol
_atom_site_fract_x
_atom_site_fract_y
_atom_site_fract_z
K1 K 0.0000 0.0000 0.2439
Si1 Si 0.5000 0.5000 0.5000
As1 As 0.5000 0.5000 0.0000
```

The density is 3.1 g/cm3. As for the crystal system: orthorhombic. The total energy comes out at -11.550 eV per atom. For the energy above the most stable polymorph in this dataset, the calculation gives 469.2 meV per atom. The total moment is 0.00 μB/f.u.



8.
DFT (meta-GGA SCAN) results for Cs2ScCrBi at its PBEsol-relaxed geometry.

Cell and atoms, written as CIF:
```
data_Cs2ScCrBi
_symmetry_space_group_name_H-M 'P 4/m m m'
_symmetry_Int_Tables_number 123
_symmetry_space_group_name_Hall '-P 4 2'
_cell_length_a 6.0160
_cell_length_b 6.0160
_cell_length_c 5.3432
_cell_angle_alpha 90.00
_cell_angle_beta 90.00
_cell_angle_gamma 90.00
loop_
_atom_site_label
_atom_site_type_symbol
_atom_site_fract_x
_atom_site_fract_y
_atom_site_fract_z
Cs1 Cs 0.0000 0.5000 0.0000
Sc1 Sc 0.0000 0.0000 0.5000
Cr1 Cr 0.0000 0.0000 0.0000
Bi1 Bi 0.5000 0.5000 0.5000
```

The density is 4.9 g/cm3. As for the crystal system: tetragonal. The total energy comes out at -36.547 eV per atom. The total moment is 4.64 μB/f.u.



9.
DFT (meta-GGA SCAN) results for InHgOs2 at its PBEsol-relaxed geometry.

Cell and atoms, written as CIF:
```
data_InHgOs2
_symmetry_space_group_name_H-M 'P 1 2/m 1'
_symmetry_Int_Tables_number 10
_cell_length_a 2.9055
_cell_length_b 4.6535
_cell_length_c 5.0595
_cell_angle_alpha 90.00
_cell_angle_beta 90.60
_cell_angle_gamma 90.00
loop_
_symmetry_equiv_pos_as_xyz
'x,y,z'
'-x,-y,-z'
'-x,y,-z'
'x,-y,z'
loop_
_atom_site_label
_atom_site_type_symbol
_atom_site_fract_x
_atom_site_fract_y
_atom_site_fract_z
In1 In 0.0000 0.0000 0.0000
Hg1 Hg 0.5000 0.0000 0.5000
Os1 Os 0.2983 0.5000 0.2237
```

The density is 16.9 g/cm3. As for the crystal system: monoclinic. The total energy comes out at -60.456 eV per atom. For the energy above the most stable polymorph in this dataset, the calculation gives 32.4 meV per atom. The total moment is 0.00 μB/f.u.



10.
DFT (meta-GGA SCAN) results for CdAgBr at its PBEsol-relaxed geometry.

Cell and atoms, written as CIF:
```
data_CdAgBr
_symmetry_space_group_name_H-M 'F m m 2'
_symmetry_Int_Tables_number 42
_symmetry_space_group_name_Hall 'F 2 -2'
_cell_length_a 3.9319
_cell_length_b 5.5905
_cell_length_c 12.0834
_cell_angle_alpha 90.00
_cell_angle_beta 90.00
_cell_angle_gamma 90.00
loop_
_atom_site_label
_atom_site_type_symbol
_atom_site_fract_x
_atom_site_fract_y
_atom_site_fract_z
Cd1 Cd 0.0000 0.0000 0.0000
Ag1 Ag 0.0000 0.0000 0.6556
Br1 Br 0.0000 0.0000 0.3236
```

The density is 7.5 g/cm3. As for the crystal system: orthorhombic. The total energy comes out at -27.219 eV per atom. The total moment is 0.00 μB/f.u.



total moment of number 1 (TcPPtO2)? 2.60 μB/f.u.



Look up the total moment of the tenth one. 0.00 μB/f.u.